A plane-wave DFT calculation with PBE was carried out for a relaxed Pm2Ni12Ge7 crystal.

## Properties
Final energy in eV per atom: -5.78
Energy of formation from the pure elements in eV/atom: -0.48

a b c (Å): 3.8392 9.4422 9.4422
angles (deg): 120.00 90.00 90.00
Last column: nearest neighbours and their distance in Å.
Sites, in units of the cell vectors:
Ni (0.5000, 0.3838, 0.2986)  4 Ge 2.43-2.47, 5 Ni 2.65-2.71
Ni (0.5000, 0.7014, 0.0851)  4 Ge 2.43-2.47, 5 Ni 2.65-2.71
Ni (0.5000, 0.2264, 0.4671)  5 Ge 2.44-2.59, 1 Ni 2.66
Ni (0.5000, 0.5329, 0.7594)  5 Ge 2.44-2.59, 1 Ni 2.66
Ni (0.0000, 0.4675, 0.5196)  4 Ge 2.30-2.39
Ni (0.0000, 0.4804, 0.9479)  4 Ge 2.30-2.39
Ni (0.0000, 0.7830, 0.7177)  4 Ge 2.38-2.39, 1 Ni 2.61
Ni (0.0000, 0.0521, 0.5325)  4 Ge 2.30-2.39
Ni (0.0000, 0.2823, 0.0653)  4 Ge 2.38-2.39, 1 Ni 2.61
Ni (0.0000, 0.9347, 0.2170)  4 Ge 2.38-2.39, 1 Ni 2.61
Ni (0.5000, 0.9149, 0.6162)  4 Ge 2.43-2.47, 5 Ni 2.65-2.71
Ni (0.5000, 0.2406, 0.7736)  5 Ge 2.44-2.59, 1 Ni 2.66
Pm (0.5000, 0.0000, 0.0000)  6 Ge 3.05, 9 Ni 3.09-3.30
Pm (0.0000, 0.6667, 0.3333)  6 Ge 3.05, 12 Ni 3.15-3.22
Ge (0.0000, 0.0639, 0.7876)  7 Ni 2.35-2.59
Ge (0.0000, 0.3333, 0.6667)  9 Ni 2.30-2.52
Ge (0.5000, 0.4319, 0.0682)  7 Ni 2.38-2.47
Ge (0.0000, 0.2124, 0.2764)  7 Ni 2.35-2.59
Ge (0.0000, 0.7236, 0.9361)  7 Ni 2.35-2.59
Ge (0.5000, 0.9318, 0.3637)  7 Ni 2.38-2.47
Ge (0.5000, 0.6363, 0.5681)  7 Ni 2.38-2.47


A plane-wave DFT calculation with PBE was carried out for a relaxed Pm3Ni6Ge5 crystal.

## Properties
Final energy in eV per atom: -5.79
Energy of formation from the pure elements in eV/atom: -0.64

a b c (Å): 4.0357 9.6482 12.1879
angles (deg): 90.00 90.00 90.00
Last column: nearest neighbours and their distance in Å.
Sites, in units of the cell vectors:
Ge (0.5000, 0.4824, 0.6214)  5 Ni 2.43-2.51
Ge (0.0000, 0.5176, 0.8786)  5 Ni 2.43-2.51
Ge (0.0000, 0.8595, 0.6692)  5 Ni 2.40-2.53
Ge (0.5000, 0.4824, 0.3786)  5 Ni 2.43-2.51
Ge (0.5000, 0.1405, 0.8308)  5 Ni 2.40-2.53
Ge (0.0000, 0.5176, 0.1214)  5 Ni 2.43-2.51
Ge (0.5000, 0.1238, 0.5000)  4 Ni 2.39-2.41
Ge (0.0000, 0.8595, 0.3308)  5 Ni 2.40-2.53
Ge (0.0000, 0.8762, 0.0000)  4 Ni 2.39-2.41
Ge (0.5000, 0.1405, 0.1692)  5 Ni 2.40-2.53
Ni (0.0000, 0.9912, 0.5000)  4 Ge 2.39-2.42
Ni (0.0000, 0.5028, 0.5000)  2 Ni 2.50, 4 Ge 2.51
Ni (0.5000, 0.4010, 0.8097)  4 Ge 2.43-2.53, 1 Ni 2.50
Ni (0.5000, 0.4010, 0.1903)  4 Ge 2.43-2.53, 1 Ni 2.50
Ni (0.5000, 0.4972, 0.0000)  2 Ni 2.50, 4 Ge 2.51
Ni (0.0000, 0.0050, 0.8308)  4 Ge 2.40-2.42
Ni (0.0000, 0.5990, 0.3097)  4 Ge 2.43-2.53, 1 Ni 2.50
Ni (0.0000, 0.0050, 0.1692)  4 Ge 2.40-2.42
Ni (0.0000, 0.5990, 0.6903)  4 Ge 2.43-2.53, 1 Ni 2.50
Ni (0.5000, 0.9950, 0.6692)  4 Ge 2.40-2.42
Ni (0.5000, 0.9950, 0.3308)  4 Ge 2.40-2.42
Ni (0.5000, 0.0088, 0.0000)  4 Ge 2.39-2.42
Pm (0.0000, 0.2496, 0.6661)  6 Ge 3.03-3.10, 8 Ni 3.04-3.38
Pm (0.5000, 0.7504, 0.8339)  6 Ge 3.03-3.10, 8 Ni 3.04-3.38
Pm (0.0000, 0.2496, 0.3339)  6 Ge 3.03-3.10, 8 Ni 3.04-3.38
Pm (0.0000, 0.2478, 0.0000)  6 Ge 2.99-3.07, 6 Ni 3.06-3.14
Pm (0.5000, 0.7522, 0.5000)  6 Ge 2.99-3.07, 6 Ni 3.06-3.14
Pm (0.5000, 0.7504, 0.1661)  6 Ge 3.03-3.10, 8 Ni 3.04-3.38


A plane-wave DFT calculation with PBE was carried out for a relaxed Pm2Ni15Ge2 crystal.

## Properties
Final energy in eV per atom: -5.76
Energy of formation from the pure elements in eV/atom: -0.21

a b c (Å): 6.3528 6.3528 6.3528
angles (deg): 82.81 82.81 82.81
Last column: nearest neighbours and their distance in Å.
Sites, in units of the cell vectors:
Ni (0.6575, 0.1531, 0.6575)  8 Ni 2.42-2.56, 1 Ge 2.57
Ni (0.3425, 0.8469, 0.3425)  8 Ni 2.42-2.56, 1 Ge 2.57
Ni (0.0000, 0.2985, 0.7015)  8 Ni 2.42-2.56
Ni (0.0000, 0.5000, 0.0000)  8 Ni 2.42, 2 Ge 2.54
Ni (0.5000, 0.0000, 0.0000)  8 Ni 2.42, 2 Ge 2.54
Ni (0.8469, 0.3425, 0.3425)  8 Ni 2.42-2.56, 1 Ge 2.57
Ni (0.7015, 0.2985, 0.0000)  8 Ni 2.42-2.56
Ni (0.2985, 0.0000, 0.7015)  8 Ni 2.42-2.56
Ni (0.7015, 0.0000, 0.2985)  8 Ni 2.42-2.56
Ni (0.1531, 0.6575, 0.6575)  8 Ni 2.42-2.56, 1 Ge 2.57
Ni (0.6575, 0.6575, 0.1531)  8 Ni 2.42-2.56, 1 Ge 2.57
Ni (0.2985, 0.7015, 0.0000)  8 Ni 2.42-2.56
Ni (0.3425, 0.3425, 0.8469)  8 Ni 2.42-2.56, 1 Ge 2.57
Ni (0.0000, 0.0000, 0.5000)  8 Ni 2.42, 2 Ge 2.54
Ni (0.0000, 0.7015, 0.2985)  8 Ni 2.42-2.56
Pm (0.3497, 0.3497, 0.3497)  18 Ni 2.97-3.31, 1 Ge 3.02
Pm (0.6503, 0.6503, 0.6503)  18 Ni 2.97-3.31, 1 Ge 3.02
Ge (0.1046, 0.1046, 0.1046)  12 Ni 2.54-2.82, 1 Ge 2.57
Ge (0.8954, 0.8954, 0.8954)  12 Ni 2.54-2.82, 1 Ge 2.57


A plane-wave DFT calculation with PBE was carried out for a relaxed PmNi6Ge2 crystal.

## Properties
Final energy in eV per atom: -5.27
Energy of formation from the pure elements in eV/atom: 0.14

a b c (Å): 7.4929 7.4929 7.4929
angles (deg): 60.00 60.00 60.00
Last column: nearest neighbours and their distance in Å.
Sites, in units of the cell vectors:
Pm (0.7500, 0.7500, 0.7500)  6 Ni 2.69
Pm (0.5000, 0.5000, 0.5000)  6 Ni 2.69
Ge (0.6250, 0.1250, 0.1250)  6 Ni 2.27
Ge (0.1250, 0.6250, 0.1250)  6 Ni 2.27
Ge (0.1250, 0.1250, 0.1250)  6 Ni 2.27
Ge (0.1250, 0.1250, 0.6250)  6 Ni 2.27
Ni (0.0034, 0.4966, 0.0034)  2 Ge 2.27
Ni (0.4966, 0.0034, 0.4966)  2 Ge 2.27
Ni (0.0034, 0.4966, 0.4966)  2 Ge 2.27
Ni (0.2466, 0.2466, 0.7534)  2 Ge 2.27
Ni (0.0034, 0.0034, 0.4966)  2 Ge 2.27
Ni (0.4966, 0.0034, 0.0034)  2 Ge 2.27
Ni (0.7534, 0.2466, 0.7534)  2 Ge 2.27
Ni (0.7534, 0.7534, 0.2466)  2 Ge 2.27
Ni (0.4966, 0.4966, 0.0034)  2 Ge 2.27
Ni (0.2466, 0.7534, 0.7534)  2 Ge 2.27
Ni (0.7534, 0.2466, 0.2466)  2 Ge 2.27
Ni (0.2466, 0.7534, 0.2466)  2 Ge 2.27


A plane-wave DFT calculation with PBE was carried out for a relaxed Pm4NiGe3 crystal.

## Properties
Final energy in eV per atom: -5.54
Energy of formation from the pure elements in eV/atom: -0.71

a b c (Å): 4.2925 4.1209 10.9758
angles (deg): 90.00 90.00 90.00
Last column: nearest neighbours and their distance in Å.
Sites, in units of the cell vectors:
Pm (0.0000, 0.0000, 0.1352)  4 Ni 3.06, 3 Ge 3.12-3.13
Pm (0.0000, 0.5000, 0.8680)  5 Ge 3.05-3.13, 2 Ni 3.07
Pm (0.5000, 0.5000, 0.3541)  6 Ge 3.06-3.30, 1 Ni 3.14
Pm (0.5000, 0.0000, 0.6419)  7 Ge 3.05-3.24
Ni (0.5000, 0.5000, 0.0684)  2 Ge 2.56
Ge (0.0000, 0.0000, 0.4207)  2 Ge 2.72
Ge (0.5000, 0.0000, 0.9293)  2 Ni 2.56
Ge (0.0000, 0.5000, 0.5824)  2 Ge 2.72


A plane-wave DFT calculation with PBE was carried out for a relaxed Pm2Ni2Ge3 crystal.

## Properties
Final energy in eV per atom: -5.69
Energy of formation from the pure elements in eV/atom: -0.70

a b c (Å): 4.2435 6.8225 9.2932
angles (deg): 90.00 103.20 90.00
Last column: nearest neighbours and their distance in Å.
Sites, in units of the cell vectors:
Ni (0.6978, 0.5553, 0.3957)  4 Ge 2.50-2.54, 1 Ni 2.66
Ni (0.6978, 0.9447, 0.3957)  4 Ge 2.50-2.54, 1 Ni 2.66
Ni (0.3022, 0.4447, 0.6043)  4 Ge 2.50-2.54, 1 Ni 2.66
Ni (0.3022, 0.0553, 0.6043)  4 Ge 2.50-2.54, 1 Ni 2.66
Ge (0.2217, 0.7500, 0.4434)  6 Ni 2.54
Ge (0.5667, 0.4389, 0.1334)  1 Ni 2.50, 2 Ge 2.55-2.58
Ge (0.7783, 0.2500, 0.5566)  6 Ni 2.54
Ge (0.4333, 0.5611, 0.8666)  1 Ni 2.50, 2 Ge 2.55-2.58
Ge (0.4333, 0.9389, 0.8666)  1 Ni 2.50, 2 Ge 2.55-2.58
Ge (0.5667, 0.0611, 0.1334)  1 Ni 2.50, 2 Ge 2.55-2.58
Pm (0.8403, 0.7500, 0.6806)  6 Ni 2.90-3.05, 6 Ge 3.00-3.02
Pm (0.9488, 0.2500, 0.8976)  9 Ge 3.01-3.27
Pm (0.0512, 0.7500, 0.1024)  9 Ge 3.01-3.27
Pm (0.1597, 0.2500, 0.3194)  6 Ni 2.90-3.05, 6 Ge 3.00-3.02


Copy entry 4 word for word.
A plane-wave DFT calculation with PBE was carried out for a relaxed PmNi6Ge2 crystal.

## Properties
Final energy in eV per atom: -5.27
Energy of formation from the pure elements in eV/atom: 0.14

a b c (Å): 7.4929 7.4929 7.4929
angles (deg): 60.00 60.00 60.00
Last column: nearest neighbours and their distance in Å.
Sites, in units of the cell vectors:
Pm (0.7500, 0.7500, 0.7500)  6 Ni 2.69
Pm (0.5000, 0.5000, 0.5000)  6 Ni 2.69
Ge (0.6250, 0.1250, 0.1250)  6 Ni 2.27
Ge (0.1250, 0.6250, 0.1250)  6 Ni 2.27
Ge (0.1250, 0.1250, 0.1250)  6 Ni 2.27
Ge (0.1250, 0.1250, 0.6250)  6 Ni 2.27
Ni (0.0034, 0.4966, 0.0034)  2 Ge 2.27
Ni (0.4966, 0.0034, 0.4966)  2 Ge 2.27
Ni (0.0034, 0.4966, 0.4966)  2 Ge 2.27
Ni (0.2466, 0.2466, 0.7534)  2 Ge 2.27
Ni (0.0034, 0.0034, 0.4966)  2 Ge 2.27
Ni (0.4966, 0.0034, 0.0034)  2 Ge 2.27
Ni (0.7534, 0.2466, 0.7534)  2 Ge 2.27
Ni (0.7534, 0.7534, 0.2466)  2 Ge 2.27
Ni (0.4966, 0.4966, 0.0034)  2 Ge 2.27
Ni (0.2466, 0.7534, 0.7534)  2 Ge 2.27
Ni (0.7534, 0.2466, 0.2466)  2 Ge 2.27
Ni (0.2466, 0.7534, 0.2466)  2 Ge 2.27